No. 1
A plane-wave DFT calculation with PBE was carried out for TaCdPtAu after structural relaxation.

Calculated values
* relative energy among the computed polymorphs: 130 meV per atom
* spin magnetization: 0.00 μB per formula unit
* formation energy from the elements: -0.03 eV per atom

Lattice parameters (Å, degrees): 4.6299 4.6299 4.6299 60.00 60.00 60.00
Fractional positions:
1 Ta 0.0000 0.0000 0.0000
2 Cd 0.2500 0.2500 0.2500
3 Pt 0.7500 0.7500 0.7500
4 Au 0.5000 0.5000 0.5000

No. 2
A plane-wave DFT calculation with PBE was carried out for AcLuBe after structural relaxation.

Calculated values
* relative energy among the computed polymorphs: 766 meV per atom
* spin magnetization: 0.00 μB per formula unit

Lattice parameters (Å, degrees): 5.1048 5.1048 5.1048 60.00 60.00 60.00
Fractional positions:
1 Ac 0.0000 0.0000 0.0000
2 Lu 0.2500 0.2500 0.2500
3 Be 0.7500 0.7500 0.7500

No. 3
A plane-wave DFT calculation with PBE was carried out for B4SbPd after structural relaxation.

Calculated values
* relative energy among the computed polymorphs: 0 meV per atom

Lattice parameters (Å, degrees): 3.0510 3.0510 8.2862 90.00 90.00 120.00
Fractional positions:
1 B 0.3333 0.6667 0.2170
2 B 0.3333 0.6667 0.7830
3 B 0.6667 0.3333 0.2170
4 B 0.6667 0.3333 0.7830
5 Sb 0.0000 0.0000 0.5000
6 Pd 0.0000 0.0000 0.0000

No. 4
A plane-wave DFT calculation with PBE was carried out for Cu2Ag after structural relaxation.

Calculated values
* relative energy among the computed polymorphs: 34 meV per atom
* formation energy from the elements: 0.08 eV per atom

Lattice parameters (Å, degrees): 6.8901 6.8901 7.5720 117.75 117.75 23.27
Fractional positions:
1 Cu 0.1318 0.1318 0.2076
2 Cu 0.2222 0.2222 0.8341
3 Cu 0.3263 0.3263 0.4883
4 Cu 0.6737 0.6737 0.5117
5 Cu 0.7778 0.7778 0.1659
6 Cu 0.8682 0.8682 0.7924
7 Ag 0.0000 0.0000 0.5000
8 Ag 0.4437 0.4437 0.1345
9 Ag 0.5563 0.5563 0.8655

No. 5
A plane-wave DFT calculation with PBE was carried out for ScNiGeMo after structural relaxation.

Calculated values
* relative energy among the computed polymorphs: 0 meV per atom
* spin magnetization: 0.83 μB per formula unit

Lattice parameters (Å, degrees): 4.4013 4.4013 4.4013 60.00 60.00 60.00
Fractional positions:
1 Sc 0.0000 0.0000 0.0000
2 Ni 0.7500 0.7500 0.7500
3 Ge 0.5000 0.5000 0.5000
4 Mo 0.2500 0.2500 0.2500

No. 6
A plane-wave DFT calculation with PBE was carried out for GdPbSO after structural relaxation.

Calculated values
* relative energy among the computed polymorphs: 8 meV per atom
* spin magnetization: 0.00 μB per formula unit

Lattice parameters (Å, degrees): 6.2289 6.2789 16.4405 90.00 90.00 90.00
Fractional positions:
1 Gd 0.0401 0.1125 0.2057
2 Gd 0.0401 0.3875 0.7057
3 Gd 0.4599 0.6125 0.2057
4 Gd 0.4599 0.8875 0.7057
5 Gd 0.5401 0.1125 0.2943
6 Gd 0.5401 0.3875 0.7943
7 Gd 0.9599 0.6125 0.2943
8 Gd 0.9599 0.8875 0.7943
9 Pb 0.1974 0.1667 0.9632
10 Pb 0.1974 0.3333 0.4632
11 Pb 0.3026 0.6667 0.9632
12 Pb 0.3026 0.8333 0.4632
13 Pb 0.6974 0.1667 0.5368
14 Pb 0.6974 0.3333 0.0368
15 Pb 0.8026 0.6667 0.5368
16 Pb 0.8026 0.8333 0.0368
17 S 0.1095 0.5118 0.1079
18 S 0.1095 0.9882 0.6079
19 S 0.3905 0.0118 0.1079
20 S 0.3905 0.4882 0.6079
21 S 0.6095 0.5118 0.3921
22 S 0.6095 0.9882 0.8921
23 S 0.8905 0.0118 0.3921
24 S 0.8905 0.4882 0.8921
25 O 0.2468 0.1535 0.7733
26 O 0.2468 0.3465 0.2733
27 O 0.2532 0.6535 0.7733
28 O 0.2532 0.8465 0.2733
29 O 0.7468 0.1535 0.7267
30 O 0.7468 0.3465 0.2267
31 O 0.7532 0.6535 0.7267
32 O 0.7532 0.8465 0.2267

No. 7
A plane-wave DFT calculation with PBE was carried out for CsCuSnSe3 after structural relaxation.

Calculated values
* relative energy among the computed polymorphs: 0 meV per atom

Lattice parameters (Å, degrees): 9.2923 4.1179 10.2118 90.00 113.77 90.00
Fractional positions:
1 Cs 0.2336 0.2500 0.2760
2 Cs 0.7664 0.7500 0.7240
3 Cu 0.0664 0.2500 0.5782
4 Cu 0.9336 0.7500 0.4218
5 Sn 0.3225 0.7500 0.8546
6 Sn 0.6775 0.2500 0.1454
7 Se 0.1172 0.2500 0.8408
8 Se 0.2190 0.7500 0.5649
9 Se 0.4649 0.7500 0.1440
10 Se 0.5351 0.2500 0.8560
11 Se 0.7810 0.2500 0.4351
12 Se 0.8828 0.7500 0.1592

No. 8
A plane-wave DFT calculation with PBE was carried out for Ba2OsO6 after structural relaxation.

Calculated values
* relative energy among the computed polymorphs: 58 meV per atom
* spin magnetization: 0.00 μB per formula unit

Lattice parameters (Å, degrees): 5.4454 5.4454 10.9325 90.00 90.00 90.00
Fractional positions:
1 Ba 0.0000 0.0000 0.1681
2 Ba 0.0000 0.0000 0.8319
3 Ba 0.5000 0.5000 0.3319
4 Ba 0.5000 0.5000 0.6681
5 Os 0.0000 0.0000 0.5000
6 Os 0.5000 0.5000 0.0000
7 O 0.1698 0.1698 0.3759
8 O 0.1698 0.1698 0.6241
9 O 0.2404 0.7596 0.5000
10 O 0.2596 0.2596 0.0000
11 O 0.3302 0.6698 0.1241
12 O 0.3302 0.6698 0.8759
13 O 0.6698 0.3302 0.1241
14 O 0.6698 0.3302 0.8759
15 O 0.7404 0.7404 0.0000
16 O 0.7596 0.2404 0.5000
17 O 0.8302 0.8302 0.3759
18 O 0.8302 0.8302 0.6241

No. 9
A plane-wave DFT calculation with PBE was carried out for AgPbSO after structural relaxation.

Calculated values
* relative energy among the computed polymorphs: 283 meV per atom

Lattice parameters (Å, degrees): 3.9199 3.9199 12.1999 90.00 90.00 120.00
Fractional positions:
1 Ag 0.3333 0.6667 0.0000
2 Ag 0.6667 0.3333 0.5000
3 Pb 0.0000 0.0000 0.2440
4 Pb 0.0000 0.0000 0.7440
5 S 0.3333 0.6667 0.3751
6 S 0.6667 0.3333 0.8751
7 O 0.0000 0.0000 0.0671
8 O 0.0000 0.0000 0.5671

No. 10
A plane-wave DFT calculation with PBE was carried out for YScPdSe3 after structural relaxation.

Calculated values
* spin magnetization: 0.00 μB per formula unit

Lattice parameters (Å, degrees): 6.8332 6.8332 9.9950 90.00 90.00 147.06
Fractional positions:
1 Y 0.2358 0.7642 0.7500
2 Y 0.7642 0.2358 0.2500
3 Sc 0.0000 0.0000 0.0000
4 Sc 0.0000 0.0000 0.5000
5 Pd 0.4693 0.5307 0.2500
6 Pd 0.5307 0.4693 0.7500
7 Se 0.1008 0.8992 0.2500
8 Se 0.3510 0.6490 0.0521
9 Se 0.3510 0.6490 0.4479
10 Se 0.6490 0.3510 0.5521
11 Se 0.6490 0.3510 0.9479
12 Se 0.8992 0.1008 0.7500

No. 11
A plane-wave DFT calculation with PBE was carried out for ZnH10C4N6Cl2O4 after structural relaxation.

Lattice parameters (Å, degrees): 7.9677 7.2300 11.4195 90.00 126.60 90.00
Fractional positions:
1 Zn 0.0000 0.0000 0.0000
2 Zn 0.0000 0.5000 0.5000
3 H 0.1066 0.1048 0.4760
4 H 0.1066 0.3952 0.9760
5 H 0.2392 0.0780 0.3956
6 H 0.2392 0.4220 0.8956
7 H 0.2967 0.6842 0.8454
8 H 0.2967 0.8158 0.3454
9 H 0.3293 0.1521 0.7966
10 H 0.3293 0.3479 0.2966
11 H 0.4105 0.5700 0.2917
12 H 0.4105 0.9300 0.7917
13 H 0.5895 0.0700 0.2083
14 H 0.5895 0.4300 0.7083
15 H 0.6707 0.6521 0.7034
16 H 0.6707 0.8479 0.2034
17 H 0.7033 0.1842 0.6546
18 H 0.7033 0.3158 0.1546
19 H 0.7608 0.5780 0.1044
20 H 0.7608 0.9220 0.6044
21 H 0.8934 0.6048 0.0240
22 H 0.8934 0.8952 0.5240
23 C 0.1630 0.6602 0.9510
24 C 0.1630 0.8398 0.4510
25 C 0.2376 0.5471 0.3744
26 C 0.2376 0.9529 0.8744
27 C 0.7624 0.0471 0.1256
28 C 0.7624 0.4529 0.6256
29 C 0.8370 0.1602 0.5490
30 C 0.8370 0.3398 0.0490
31 N 0.1807 0.0221 0.4467
32 N 0.1807 0.4779 0.9467
33 N 0.2429 0.7369 0.3925
34 N 0.2429 0.7631 0.8925
35 N 0.3298 0.0127 0.8149
36 N 0.3298 0.4873 0.3149
37 N 0.6702 0.5127 0.6851
38 N 0.6702 0.9873 0.1851
39 N 0.7571 0.2369 0.1075
40 N 0.7571 0.2631 0.6075
41 N 0.8193 0.5221 0.0533
42 N 0.8193 0.9779 0.5533
43 Cl 0.3375 0.0561 0.2480
44 Cl 0.3375 0.4439 0.7480
45 Cl 0.6625 0.5561 0.2520
46 Cl 0.6625 0.9439 0.7520
47 O 0.0803 0.7300 0.0071
48 O 0.0803 0.7700 0.5071
49 O 0.1527 0.0648 0.9090
50 O 0.1527 0.4352 0.4090
51 O 0.8473 0.5648 0.5910
52 O 0.8473 0.9352 0.0910
53 O 0.9197 0.2300 0.4929
54 O 0.9197 0.2700 0.9929

No. 12
A plane-wave DFT calculation with PBE was carried out for DyHg3 after structural relaxation.

Calculated values
* spin magnetization: 0.00 μB per formula unit
* formation energy from the elements: -0.35 eV per atom

Lattice parameters (Å, degrees): 6.5985 6.5985 4.9930 90.00 90.00 120.00
Fractional positions:
1 Dy 0.3333 0.6667 0.2500
2 Dy 0.6667 0.3333 0.7500
3 Hg 0.1665 0.3330 0.7500
4 Hg 0.1665 0.8335 0.7500
5 Hg 0.3330 0.1665 0.2500
6 Hg 0.6670 0.8335 0.7500
7 Hg 0.8335 0.1665 0.2500
8 Hg 0.8335 0.6670 0.2500

No. 13
A plane-wave DFT calculation with PBE was carried out for CuAg4 after structural relaxation.

Calculated values
* relative energy among the computed polymorphs: 33 meV per atom
* formation energy from the elements: 0.06 eV per atom

Lattice parameters (Å, degrees): 7.6091 7.6091 4.9895 96.22 96.22 141.70
Fractional positions:
1 Cu 0.0474 0.9526 0.7500
2 Cu 0.9526 0.0474 0.2500
3 Ag 0.1424 0.8576 0.2500
4 Ag 0.2462 0.7538 0.7500
5 Ag 0.3511 0.6489 0.2500
6 Ag 0.4524 0.5476 0.7500
7 Ag 0.5476 0.4524 0.2500
8 Ag 0.6489 0.3511 0.7500
9 Ag 0.7538 0.2462 0.2500
10 Ag 0.8576 0.1424 0.7500

No. 14
A plane-wave DFT calculation with PBE was carried out for HoTmMg after structural relaxation.

Calculated values
* relative energy among the computed polymorphs: 5 meV per atom
* spin magnetization: 0.00 μB per formula unit

Lattice parameters (Å, degrees): 8.8175 8.8175 5.4230 90.00 90.00 156.52
Fractional positions:
1 Ho 0.2258 0.7742 0.7500
2 Ho 0.7742 0.2258 0.2500
3 Tm 0.0976 0.9024 0.2500
4 Tm 0.9024 0.0976 0.7500
5 Mg 0.4375 0.5625 0.2500
6 Mg 0.5625 0.4375 0.7500

No. 15
A plane-wave DFT calculation with PBE was carried out for KGdCdS3 after structural relaxation.

Calculated values
* spin magnetization: 0.00 μB per formula unit

Lattice parameters (Å, degrees): 8.5000 4.1616 10.0099 90.00 106.61 90.00
Fractional positions:
1 K 0.2094 0.2500 0.2191
2 K 0.7906 0.7500 0.7809
3 Gd 0.3288 0.7500 0.8644
4 Gd 0.6712 0.2500 0.1356
5 Cd 0.0860 0.2500 0.6122
6 Cd 0.9140 0.7500 0.3878
7 S 0.1060 0.2500 0.8662
8 S 0.2273 0.7500 0.5492
9 S 0.4583 0.7500 0.1449
10 S 0.5417 0.2500 0.8551
11 S 0.7727 0.2500 0.4508
12 S 0.8940 0.7500 0.1338

No. 16
A plane-wave DFT calculation with PBE was carried out for Tb3Mg3Ir2Au after structural relaxation.

Calculated values
* spin magnetization: 0.02 μB per formula unit

Lattice parameters (Å, degrees): 7.4092 7.4092 4.0404 90.00 90.00 120.00
Fractional positions:
1 Tb 0.0000 0.5815 0.0000
2 Tb 0.4185 0.4185 0.0000
3 Tb 0.5815 0.0000 0.0000
4 Mg 0.0000 0.2533 0.5000
5 Mg 0.2533 0.0000 0.5000
6 Mg 0.7467 0.7467 0.5000
7 Ir 0.3333 0.6667 0.5000
8 Ir 0.6667 0.3333 0.5000
9 Au 0.0000 0.0000 0.0000

No. 17
A plane-wave DFT calculation with PBE was carried out for TbY2Sn2Pb5 after structural relaxation.

Calculated values
* relative energy among the computed polymorphs: 17 meV per atom
* spin magnetization: 0.00 μB per formula unit

Lattice parameters (Å, degrees): 13.6654 13.6654 4.5392 90.00 90.00 160.76
Fractional positions:
1 Tb 0.0000 0.0000 0.0000
2 Y 0.3110 0.6890 0.5000
3 Y 0.6890 0.3110 0.5000
4 Sn 0.4033 0.5967 0.0000
5 Sn 0.5967 0.4033 0.0000
6 Pb 0.0968 0.9032 0.5000
7 Pb 0.2090 0.7910 0.0000
8 Pb 0.5000 0.5000 0.5000
9 Pb 0.7910 0.2090 0.0000
10 Pb 0.9032 0.0968 0.5000

No. 18
A plane-wave DFT calculation with PBE was carried out for SmTaCu3 after structural relaxation.

Calculated values
* spin magnetization: 0.13 μB per formula unit
* formation energy from the elements: 0.72 eV per atom

Lattice parameters (Å, degrees): 4.7455 4.7455 4.7455 90.00 90.00 90.00
Fractional positions:
1 Sm 0.0000 0.0000 0.0000
2 Ta 0.5000 0.5000 0.5000
3 Cu 0.0000 0.5000 0.5000
4 Cu 0.5000 0.0000 0.5000
5 Cu 0.5000 0.5000 0.0000

No. 19
A plane-wave DFT calculation with PBE was carried out for CuSnIrPt after structural relaxation.

Calculated values
* relative energy among the computed polymorphs: 0 meV per atom
* spin magnetization: 0.01 μB per formula unit

Lattice parameters (Å, degrees): 4.4822 4.4822 4.4822 60.00 60.00 60.00
Fractional positions:
1 Cu 0.0000 0.0000 0.0000
2 Sn 0.7500 0.7500 0.7500
3 Ir 0.5000 0.5000 0.5000
4 Pt 0.2500 0.2500 0.2500

No. 20
A plane-wave DFT calculation with PBE was carried out for ErPtNO after structural relaxation.

Calculated values
* relative energy among the computed polymorphs: 174 meV per atom
* spin magnetization: 0.00 μB per formula unit

Lattice parameters (Å, degrees): 4.1737 4.1737 6.8392 90.00 90.00 90.00
Fractional positions:
1 Er 0.2500 0.2500 0.1320
2 Er 0.7500 0.7500 0.8680
3 Pt 0.2500 0.7500 0.5000
4 Pt 0.7500 0.2500 0.5000
5 N 0.2500 0.2500 0.4613
6 N 0.7500 0.7500 0.5387
7 O 0.2500 0.7500 0.0000
8 O 0.7500 0.2500 0.0000

No. 21
A plane-wave DFT calculation with PBE was carried out for PrCuSi after structural relaxation.

Calculated values
* spin magnetization: 0.00 μB per formula unit

Lattice parameters (Å, degrees): 4.7479 4.7479 4.7479 60.00 60.00 60.00
Fractional positions:
1 Pr 0.0000 0.0000 0.0000
2 Cu 0.7500 0.7500 0.7500
3 Si 0.2500 0.2500 0.2500

| no. | DFT total energy (Ha/atom) |
| --- | --- |
| 1 | -0.204 |
| 2 | -0.110 |
| 3 | -0.202 |
| 4 | -0.123 |
| 5 | -0.254 |
| 6 | -0.227 |
| 7 | -0.138 |
| 8 | -0.249 |
| 9 | -0.149 |
| 10 | -0.227 |
| 11 | -0.221 |
| 12 | -0.063 |
| 13 | -0.108 |
| 14 | -0.132 |
| 15 | -0.168 |
| 16 | -0.186 |
| 17 | -0.177 |
| 18 | -0.177 |
| 19 | -0.209 |
| 20 | -0.269 |
| 21 | -0.159 |